The following is a DFT calculation (PBE) of Li8MgGa5 after structural relaxation.

Results
- crystal system = tetragonal
- V (Å³/atom) = 17.35
- formation enthalpy at 0 K (eV/atom) = -0.134
- D(E_F) (states/eV/cell) = 4.32

a = 6.837 Å, b = 6.837 Å, c = 6.837 Å
α = 113.32°, β = 113.32°, γ = 102.01°
Positions (direct):
Li 0.157 0.395 0.554
Li 0.321 0.222 0.252
Li 0.397 0.843 0.238
Li 0.605 0.159 0.762
Li 0.778 0.030 0.099
Li 0.841 0.603 0.446
Li 0.931 0.679 0.901
Li 0.970 0.069 0.748
Mg 0.500 0.500 0.000
Ga 0.061 0.480 0.176
Ga 0.115 0.939 0.419
Ga 0.303 0.885 0.824
Ga 0.520 0.697 0.581
Ga 0.750 0.250 0.500